Model one:
Material: TlInBiPb
Method: DFT, GGA-PBE
State: relaxed

Calculated values
N(E_F)	3.641	states/eV/cell
density	9.8	g cm⁻³

Unit cell a=4.6865 b=4.9945 c=10.5997 alpha=90.00 beta=90.00 gamma=90.00
Closest atoms and distances in Å follow each position.
Space group Imm2 (No. 44)
One atom of each set of equivalent atoms:
Tl: 0.0000 0.0000 0.0000  4 In 3.42, 4 Pb 3.54-3.63, 4 Bi 3.56-3.62
In: 0.0000 0.0000 0.5006  4 Tl 3.42, 4 Bi 3.51-3.67, 4 Pb 3.54-3.64
Bi: 0.0000 0.5000 0.2469  4 Pb 3.42, 4 In 3.51-3.67, 4 Tl 3.56-3.62
Pb: 0.0000 0.5000 0.7509  4 Bi 3.42, 4 In 3.54-3.64, 4 Tl 3.54-3.63

***

Model two:
Material: TlInBiPb
Method: DFT, GGA-PBE
State: relaxed

Calculated values
N(E_F)	11.507	states/eV/cell
density	9.7	g cm⁻³

Unit cell a=7.9482 b=7.9482 c=7.9482 alpha=90.00 beta=90.00 gamma=90.00
Closest atoms and distances in Å follow each position.
Space group F-43m (No. 216)
One atom of each set of equivalent atoms:
Tl: 0.0000 0.0000 0.0000  4 In 3.44, 4 Pb 3.44
In: 0.2500 0.2500 0.2500  4 Tl 3.44, 4 Bi 3.44
Bi: 0.0000 0.0000 0.5000  4 In 3.44, 4 Pb 3.44
Pb: 0.2500 0.2500 0.7500  4 Tl 3.44, 4 Bi 3.44

***

Relative energies, in eV/atom, with the most stable structure set to zero: model one 0.000; model two 0.013.